Material: PuZr2Re
Method: DFT, PBE
State: optimized geometry

## Properties
Its energy above the most stable polymorph in this dataset is 142 meV per atom. The value obtained for the energy of formation is 0.113 eV per atom. Its space group is Fm-3m.

Lattice parameters (Å, degrees): 4.8540 4.8540 4.8540 60.00 60.00 60.00
Fractional coordinates of all 4 atoms:
Pu (0.5000, 0.5000, 0.5000)
Zr (0.7500, 0.7500, 0.7499)
Zr (0.2500, 0.2500, 0.2501)
Re (0.0000, 0.0000, 0.0000)


Material: CaAcLaNd
Method: DFT, PBE
State: optimized geometry

## Properties
Its energy above the most stable polymorph in this dataset is 0 meV per atom. The value obtained for the energy of formation is 0.031 eV per atom. Its space group is R3m.

Lattice parameters (Å, degrees): 3.8248 3.8248 12.7391 81.37 81.37 60.00
Fractional coordinates of all 4 atoms:
La (0.0207, 0.0207, 0.9379)
Nd (0.2757, 0.2757, 0.1729)
Ac (0.5270, 0.5270, 0.4190)
Ca (0.7725, 0.7725, 0.6824)


Material: BaCd2Pt
Method: DFT, PBE
State: optimized geometry

## Properties
The value obtained for the energy of formation is -0.206 eV per atom. Its space group is Pmmm.

Lattice parameters (Å, degrees): 4.4198 4.4719 5.5185 90.00 90.00 90.00
Fractional coordinates of all 4 atoms:
Pt (0.5000, 0.0000, 0.5000)
Cd (0.0000, 0.0000, 0.0000)
Cd (0.5000, 0.5000, 0.0000)
Ba (0.0000, 0.5000, 0.5000)


Material: CaPaPd4
Method: DFT, PBE
State: optimized geometry

## Properties
Its energy above the most stable polymorph in this dataset is 167 meV per atom. The value obtained for the energy of formation is -0.559 eV per atom. Its space group is P-1.

Lattice parameters (Å, degrees): 5.6844 5.5979 8.0371 86.46 110.75 90.09
Fractional coordinates of all 12 atoms:
Pa (0.5000, 0.0000, 0.5000)
Pa (0.0000, 0.5000, 0.5000)
Ca (0.8742, 0.7499, 0.0003)
Ca (0.1258, 0.2501, 0.9997)
Pd (0.6623, 0.3640, 0.1705)
Pd (0.4924, 0.1361, 0.8299)
Pd (0.9890, 0.9891, 0.6674)
Pd (0.5076, 0.8639, 0.1701)
Pd (0.3215, 0.5102, 0.3326)
Pd (0.3377, 0.6360, 0.8295)
Pd (0.6785, 0.4898, 0.6674)
Pd (0.0110, 0.0109, 0.3326)


Material: Pa2Fe5B4
Method: DFT, PBE
State: optimized geometry

## Properties
The value obtained for the energy of formation is -0.468 eV per atom. Its space group is Fmmm.

Lattice parameters (Å, degrees): 5.1133 5.1243 6.0845 77.90 65.15 60.07
Fractional coordinates of all 11 atoms:
Fe (0.5000, 0.5000, 0.0000)
Fe (0.2500, 0.5000, 0.5000)
Fe (0.0000, 0.5000, 0.0000)
Fe (0.7500, 0.5000, 0.5000)
Fe (0.5000, 0.0000, 0.0000)
B (0.2107, 0.3174, 0.2611)
B (0.7893, 0.6826, 0.7389)
B (0.5282, 0.6826, 0.2611)
B (0.4718, 0.3174, 0.7389)
Pa (0.8626, 0.0000, 0.2747)
Pa (0.1374, 0.0000, 0.7253)


Material: Ho2Ga3Co
Method: DFT, PBE
State: optimized geometry

## Properties
The value obtained for the energy of formation is -0.559 eV per atom. Its space group is Cm.

Lattice parameters (Å, degrees): 4.2443 5.5517 5.6732 77.46 68.03 67.53
Fractional coordinates of all 6 atoms:
Ga (0.8523, 0.6147, 0.6807)
Ga (0.1667, 0.7569, 0.9098)
Ga (0.8216, 0.2357, 0.1210)
Co (0.1610, 0.3818, 0.2963)
Ho (0.4504, 0.8023, 0.2968)
Ho (0.5480, 0.2086, 0.6954)


Material: Lu2UC
Method: DFT, PBE
State: optimized geometry

## Properties
The value obtained for the energy of formation is 0.156 eV per atom. Its space group is R-3m.

Lattice parameters (Å, degrees): 3.3062 3.3062 9.6327 80.12 80.12 60.00
Fractional coordinates of all 4 atoms:
U (0.0000, 0.0000, 0.0000)
C (0.5000, 0.5000, 0.5000)
Lu (0.1192, 0.1192, 0.6424)
Lu (0.8808, 0.8808, 0.3576)


Material: SrAcNp2O8
Method: DFT, PBE
State: optimized geometry

## Properties
As for the uncorrected formation energy: -2.9508 eV per atom. Its space group is I-4.

Lattice parameters (Å, degrees): 5.6135 5.6135 6.6563 114.94 114.94 90.00
Fractional coordinates of all 12 atoms:
O (0.3760, 0.4110, 0.2486)
O (0.1624, 0.6240, 0.7514)
O (0.5876, 0.6248, 0.7485)
O (0.3752, 0.8391, 0.2515)
O (0.1609, 0.1237, 0.7485)
O (0.8725, 0.8376, 0.2486)
O (0.8763, 0.4124, 0.2515)
O (0.5890, 0.1275, 0.7514)
Np (0.2500, 0.7500, 0.5000)
Np (0.5000, 0.5000, 0.0000)
Sr (0.0000, 0.0000, 0.0000)
Ac (0.7500, 0.2500, 0.5000)


Number 1: total magnetization 4.976 μB/f.u., D(E_F) 10.2 states/eV/f.u., uncorrected energy -43.4 eV per formula unit. Number 2: total magnetization 0.000 μB/f.u., D(E_F) 5.6 states/eV/f.u., uncorrected energy -15.7 eV per formula unit. Number 3: total magnetization 0.000 μB/f.u., D(E_F) 1.4 states/eV/f.u., uncorrected energy -10.6 eV per formula unit. Number 4: total magnetization 0.000 μB/f.u., D(E_F) 4.6 states/eV/f.u., uncorrected energy -35.6 eV per formula unit. Number 5: total magnetization 0.000 μB/f.u., D(E_F) 7.9 states/eV/f.u., uncorrected energy -93.2 eV per formula unit. Number 6: total magnetization 0.000 μB/f.u., D(E_F) 4.9 states/eV/f.u., uncorrected energy -28.7 eV per formula unit. Number 7: total magnetization 2.287 μB/f.u., D(E_F) 6.7 states/eV/f.u., uncorrected energy -28.9 eV per formula unit. Number 8: total magnetization 3.000 μB/f.u., D(E_F) 11.9 states/eV/f.u., uncorrected energy -106.7 eV per formula unit.